# CrGeTe2I

A relaxed structure of CrGeTe2I (PBE, the Alexandria database).

Cell lengths 5.290, 5.290, 5.392 Å; angles 90.00, 90.00, 90.00 degrees
Positions (direct):
Cr (0.000, 0.000, 0.000)
Ge (0.500, 0.500, 0.500)
Te (0.000, 0.500, 0.000)
Te (0.500, 0.000, 0.000)
I (0.000, 0.000, 0.500)

Energy above the lowest structure with this stoichiometry, kJ/mol of formula units: 0
Calculated density, g cm⁻³: 5.58
Calculated volume, A^3/atom: 30.18
E_tot, eV/atom: -4.02
ΔE_f (raw), eV per atom: 0.40